Density functional theory data (PBE) for a relaxed DyYEr2 crystal.

energy: -20.10 eV for the cell shown
relative energy among the computed polymorphs: 19 meV per atom
energy relative to the elements: 0.1 eV per formula unit

a = 3.532 Å, b = 3.532 Å, c = 9.994 Å
α = 90.00°, β = 90.00°, γ = 90.00°
Space group P4/mmm (No. 123)
Symmetry-distinct sites (fractional):
Dy1 0.000 0.000 0.000 x1
Y1 0.000 0.000 0.500 x1
Er1 0.500 0.500 0.248 x2

Density functional theory data (PBE) for a relaxed Dy3Y6Er2 crystal.

energy: -116.82 eV for the cell shown
relative energy among the computed polymorphs: 276 meV per atom
energy relative to the elements: 3.3 eV per formula unit

a = 4.712 Å, b = 4.712 Å, c = 33.317 Å
α = 90.00°, β = 90.00°, γ = 90.00°
Space group I4/mmm (No. 139)
Symmetry-distinct sites (fractional):
Dy1 0.000 0.000 0.000 x2
Dy2 0.000 0.000 0.198 x4
Y1 0.000 0.000 0.301 x4
Y2 0.000 0.500 0.121 x8
Er1 0.000 0.000 0.455 x4